Compound: KMg2Si
Source: Alexandria
Functional: PBE
Structure: relaxed

abc: 5.9805 5.9805 9.5625
angles: 71.78 71.78 90.00
Positions (direct):
Mg (0.8750, 0.6249, 0.7500)
Si (0.5000, 0.5000, 0.0000)
Si (0.2500, 0.7500, 0.5000)
Mg (0.3749, 0.1250, 0.2500)
Mg (0.3751, 0.6250, 0.2500)
K (0.7500, 0.2500, 0.5000)
Mg (0.3750, 0.6251, 0.7500)
K (0.0000, 0.0000, 0.0000)

Its total moment is 0.000 μB/atom. The calculation puts the electronic total energy at -2.113 eV/atom. The space-group type is No. 141. The value obtained for the density of states at the Fermi level is 0.74 states/eV/atom. For the volume, the calculation gives 306.76 Å³ per cell. The calculation puts the uncorrected formation energy at 0.31 eV/atom.